Computed, not measured: a crystal of TaCo2As relaxed with PBEsol at the meta-GGA SCAN level of DFT.

## Properties
total DFT energy (no corrections) = -30.378 eV/atom
Fermi-level density of states = 1.5 states/eV/cell

Cell and atoms, written as CIF:
```
data_TaCo2As
_space_group_name_H-M_alt 'P 1'
_space_group_IT_number 1
_cell_length_a 2.772
_cell_length_b 3.822
_cell_length_c 5.137
_cell_angle_alpha 90.00
_cell_angle_beta 105.65
_cell_angle_gamma 90.00
loop_
_space_group_symop_operation_xyz
'x,y,z'
loop_
_atom_site_label
_atom_site_type_symbol
_atom_site_fract_x
_atom_site_fract_y
_atom_site_fract_z
Ta1 Ta 0.934 0.000 0.867
As1 As 0.300 0.500 0.600
Co1 Co 0.571 0.500 0.142
Co2 Co 0.180 0.000 0.359
```